No. 1
DFT (PBE) results for a geometry-optimized AsPt2Br structure.

Structure (POSCAR):
```
AsPt2Br
1.0
-5.098 3.808 -1.392
-0.488 -2.796 -5.862
-5.415 -2.416 -2.015
Pt Br As
4 2 2
Direct
0.875 0.834 0.750
0.375 0.416 0.750
0.166 0.625 0.250
0.584 0.125 0.250
0.750 0.250 0.500
0.000 0.000 0.000
0.250 0.750 0.500
0.500 0.500 0.000
```

Calculated values
Theoretical density   10053 kg/m³
E above lowest polymorph   24.06 kJ per mole of atoms
Total magnetic moment   0.00 μB per cell
Formation energy from raw total energies   0.08 eV per atom
Density of states at the Fermi level   1.32 states/eV/f.u.



No. 2
DFT (PBE) results for a geometry-optimized BaTbY structure.

Structure (POSCAR):
```
BaTbY
1.0
3.788 0.000 0.000
0.000 3.788 0.000
-1.894 -1.894 8.225
Ba Y Tb
1 1 1
Direct
0.999 0.999 0.999
0.682 0.682 0.364
0.319 0.319 0.637
```

Calculated values
Theoretical density   5418 kg/m³
Formation energy   18 kJ/mol of atoms
Total magnetic moment   0.00 μB per cell
Density of states at the Fermi level   5.68 states/eV/f.u.



No. 3
DFT (PBE) results for a geometry-optimized Sr4AcAu5 structure.

Structure (POSCAR):
```
Sr4AcAu5
1.0
3.875 0.000 0.000
0.000 3.875 0.000
0.000 0.000 19.188
Au Sr Ac
5 4 1
Direct
0.500 0.500 0.904
0.500 0.500 0.096
0.500 0.500 0.697
0.500 0.500 0.303
0.500 0.500 0.500
0.000 0.000 0.203
0.000 0.000 0.401
0.000 0.000 0.599
0.000 0.000 0.797
0.000 0.000 0.000
```

Calculated values
Theoretical density   9005 kg/m³
Formation energy   -72 kJ/mol of atoms
Total magnetic moment   0.00 μB per cell
Density of states at the Fermi level   6.91 states/eV/f.u.



No. 4
DFT (PBE) results for a geometry-optimized Ta2TlSb structure.

Structure (POSCAR):
```
Ta2TlSb
1.0
4.554 0.000 0.000
0.000 3.111 0.000
0.000 1.050 5.857
Ta Sb Tl
2 1 1
Direct
0.000 0.489 0.517
0.000 0.011 0.983
0.500 0.750 0.750
0.500 0.250 0.250
```

Calculated values
Theoretical density   13766 kg/m³
E above lowest polymorph   25.44 kJ per mole of atoms
Total magnetic moment   0.00 μB per cell
Formation energy from raw total energies   0.49 eV per atom
Density of states at the Fermi level   2.31 states/eV/f.u.



No. 5
DFT (PBE) results for a geometry-optimized PuMgCoSn structure.

Structure (POSCAR):
```
PuMgCoSn
1.0
4.780 0.000 0.000
2.390 4.140 0.000
2.390 1.380 3.903
Sn Co Mg Pu
1 1 1 1
Direct
0.250 0.250 0.250
0.500 0.500 0.500
0.000 0.000 0.000
0.750 0.750 0.750
```

Calculated values
Theoretical density   9589 kg/m³
Formation energy   -5 kJ/mol of atoms
Total magnetic moment   4.60 μB per cell
Density of states at the Fermi level   4.57 states/eV/f.u.



No. 6
DFT (PBE) results for a geometry-optimized BaTi2ZnIr structure.

Structure (POSCAR):
```
BaTi2ZnIr
1.0
4.979 0.000 0.000
0.000 5.068 0.000
0.000 0.000 4.979
Ba Ti Zn Ir
1 2 1 1
Direct
0.000 0.000 0.000
0.500 0.000 0.000
0.000 0.000 0.500
0.500 0.500 0.500
0.000 0.500 0.000
```

Calculated values
Theoretical density   6484 kg/m³
Formation energy   197 kJ/mol of atoms
Total magnetic moment   0.00 μB per cell
Density of states at the Fermi level   7.48 states/eV/f.u.



No. 7
DFT (PBE) results for a geometry-optimized RbReAs2Br structure.

Structure (POSCAR):
```
RbReAs2Br
1.0
-0.662 -4.968 -2.972
2.280 -2.974 4.462
-5.410 -0.667 2.320
As Rb Re Br
2 1 1 1
Direct
0.500 0.000 0.000
0.000 0.500 0.000
0.000 0.000 0.000
0.500 0.500 0.500
0.000 0.000 0.500
```

Calculated values
Theoretical density   4139 kg/m³
E above lowest polymorph   217.99 kJ per mole of atoms
Total magnetic moment   3.37 μB per cell
Formation energy from raw total energies   2.17 eV per atom
Density of states at the Fermi level   3.47 states/eV/f.u.



No. 8
DFT (PBE) results for a geometry-optimized K2Ag3Cl5 structure.

Structure (POSCAR):
```
K2Ag3Cl5
1.0
7.494 0.000 0.000
3.747 9.724 2.779
3.747 4.245 9.179
Cl Ag K
10 6 4
Direct
0.451 0.299 0.299
0.750 0.500 0.500
0.549 0.701 0.701
0.409 0.190 0.992
0.049 0.701 0.701
0.951 0.299 0.299
0.591 0.810 0.008
0.909 0.992 0.190
0.250 0.500 0.500
0.091 0.008 0.810
0.250 0.000 0.000
0.903 0.684 0.510
0.597 0.490 0.316
0.750 0.000 0.000
0.097 0.316 0.490
0.403 0.510 0.684
0.808 0.388 0.996
0.192 0.612 0.004
0.308 0.996 0.388
0.692 0.004 0.612
```

Calculated values
Theoretical density   3313 kg/m³
E above lowest polymorph   2.27 kJ per mole of atoms
Total magnetic moment   0.00 μB per cell
Formation energy from raw total energies   -1.02 eV per atom
Density of states at the Fermi level   0.00 states/eV/f.u.